[1]
This record from Alexandria via LeMat-Bulk describes a relaxed structure of Cs2CdReI6. The functional is PBE.

The total energy comes out at -2.996 eV/atom. The value obtained for the spin magnetization is 2.99 μB per formula unit. Its space-group type is I4/mmm, No. 139. The value obtained for the raw formation energy is -5.6 eV/f.u. Its mass density is 4.89 g/cm3. Its crystal system is tetragonal.

Cell lengths 8.6052, 8.6052, 8.6052 Å; angles 120.07, 120.07, 89.87 degrees
With the nearest neighbours (Å) after each atom.
Atoms (fractional coordinates):
Cs1 0.2500 0.7500 0.5000  12 I 4.31
Cs2 0.7500 0.2500 0.5000  12 I 4.31
Cd1 0.0000 0.0000 0.0000  6 I 3.30-3.32
Re1 0.5000 0.5000 0.0000  6 I 2.78
I1 0.2715 0.2715 0.5430  1 Re 2.78
I2 0.2715 0.7285 0.0000  1 Re 2.78
I3 0.2722 0.2722 0.0000  1 Re 2.78
I4 0.7278 0.7278 0.0000  1 Re 2.78
I5 0.7285 0.2715 0.0000  1 Re 2.78
I6 0.7285 0.7285 0.4570  1 Re 2.78



[2]
This record from Alexandria via LeMat-Bulk describes a relaxed structure of RbMgNb. The functional is PBE.

The formation energy is 0.7622 eV/atom. The total energy comes out at -3.448 eV/atom. For the energy above the most stable polymorph in this dataset, the calculation gives 110 kJ/mol of formula units. The value obtained for the spin magnetization is 0.00 μB per formula unit. Its space-group type is Pnma, No. 62. Its mass density is 3.36 g/cm3. Its crystal system is orthorhombic.

Cell lengths 5.1195, 5.4095, 14.4501 Å; angles 90.00, 90.00, 90.00 degrees
With the nearest neighbours (Å) after each atom.
Atoms (fractional coordinates):
Rb1 0.2500 0.2500 0.0276  3 Mg 3.64-3.83, 4 Rb 3.81
Rb2 0.2500 0.7500 0.5276  3 Mg 3.64-3.83, 4 Rb 3.81
Rb3 0.7500 0.2500 0.4724  3 Mg 3.64-3.83, 4 Rb 3.81
Rb4 0.7500 0.7500 0.9724  3 Mg 3.64-3.83, 4 Rb 3.81
Mg1 0.2497 0.2500 0.2928  2 Mg 2.84, 4 Nb 3.05-3.06
Mg2 0.2503 0.7500 0.7928  2 Mg 2.84, 4 Nb 3.05-3.06
Mg3 0.7497 0.2500 0.2072  2 Mg 2.84, 4 Nb 3.05-3.06
Mg4 0.7503 0.7500 0.7072  2 Mg 2.84, 4 Nb 3.05-3.06
Nb1 0.0007 0.2500 0.7499  2 Nb 2.56
Nb2 0.4993 0.7500 0.2499  2 Nb 2.56
Nb3 0.5007 0.2500 0.7501  2 Nb 2.56
Nb4 0.9993 0.7500 0.2501  2 Nb 2.56



[3]
This record from Alexandria via LeMat-Bulk describes a relaxed structure of YIn2Ni. The functional is PBE.

The formation energy is 0.0110 eV/atom. The total energy comes out at -4.420 eV/atom. The value obtained for the spin magnetization is 0.00 μB per formula unit. Its space-group type is I-42d, No. 122. Its mass density is 6.67 g/cm3. Its crystal system is tetragonal.

Cell lengths 11.0548, 11.0548, 11.0548 Å; angles 158.09, 158.09, 31.18 degrees
With the nearest neighbours (Å) after each atom.
Atoms (fractional coordinates):
Y1 0.0000 0.0000 0.0000  4 Ni 2.97, 4 In 3.08
Y2 0.7500 0.2500 0.5000  4 Ni 2.97, 4 In 3.08
In1 0.1439 0.6250 0.0189  4 In 2.86-3.09, 2 Ni 3.02, 2 Y 3.08
In2 0.3750 0.3939 0.5189  4 In 2.86-3.09, 2 Ni 3.02, 2 Y 3.08
In3 0.6061 0.1250 0.9811  4 In 2.86-3.09, 2 Ni 3.02, 2 Y 3.08
In4 0.8750 0.8561 0.4811  4 In 2.86-3.09, 2 Ni 3.02, 2 Y 3.08
Ni1 0.2500 0.7500 0.5000  4 Y 2.97, 4 In 3.02
Ni2 0.5000 0.5000 0.0000  4 Y 2.97, 4 In 3.02



[4]
This record from Alexandria via LeMat-Bulk describes a relaxed structure of TiFeAs3. The functional is PBE.

The formation energy is 0.4253 eV/atom. The total energy comes out at -5.636 eV/atom. For the energy above the most stable polymorph in this dataset, the calculation gives 0 kJ/mol of formula units. The value obtained for the spin magnetization is 3.52 μB per formula unit. Its space-group type is Pm-3m, No. 221. Its mass density is 5.59 g/cm3. Its crystal system is cubic.

Cell lengths 4.6027, 4.6027, 4.6027 Å; angles 90.00, 90.00, 90.00 degrees
With the nearest neighbours (Å) after each atom.
Atoms (fractional coordinates):
Ti1 0.0000 0.0000 0.0000  12 As 3.25
Fe1 0.5000 0.5000 0.5000  6 As 2.30
As1 0.0000 0.5000 0.5000  2 Fe 2.30
As2 0.5000 0.0000 0.5000  2 Fe 2.30
As3 0.5000 0.5000 0.0000  2 Fe 2.30



[5]
This record from Alexandria via LeMat-Bulk describes a relaxed structure of TaReSb2. The functional is PBE.

The total energy comes out at -7.772 eV/atom. For the energy above the most stable polymorph in this dataset, the calculation gives 125 kJ/mol of formula units. The value obtained for the spin magnetization is 0.00 μB per formula unit. Its space-group type is Imm2, No. 44. The value obtained for the raw formation energy is 1.5 eV/f.u. Its mass density is 12.22 g/cm3. Its crystal system is orthorhombic.

Cell lengths 6.4839, 6.4839, 6.4839 Å; angles 151.66, 139.90, 49.82 degrees
With the nearest neighbours (Å) after each atom.
Atoms (fractional coordinates):
Ta1 0.0000 0.0000 0.0000  2 Re 2.77, 6 Sb 2.93-3.00
Re1 0.8070 0.3070 0.5000  6 Sb 2.75-2.85, 2 Ta 2.77
Sb1 0.3372 0.8372 0.5000  4 Re 2.75, 2 Ta 2.93
Sb2 0.6054 0.6054 0.0000  2 Re 2.85, 4 Ta 3.00, 2 Sb 3.17



| no. | D(E_F) (states/eV per cell) |
| --- | --- |
| 1 | 4.3 |
| 2 | 15.1 |
| 3 | 5.3 |
| 4 | 7.2 |
| 5 | 2.4 |